[1]
A plane-wave DFT calculation with PBE was carried out for an optimized crystal structure of MgB2F.

Summary:
The calculation puts the raw total energy at -4.74 eV/atom. For the polymorph energy (0 for the lowest one), the calculation gives 0.0 meV/atom. The formation energy (no corrections) is -535 meV/atom.

Cell lengths 3.068, 3.068, 10.775 Å; angles 81.81, 81.81, 90.00 degrees
Atoms (fractional coordinates):
F (0.250, 0.750, 0.500)
F (0.500, 0.500, 0.000)
B (0.875, 0.625, 0.750)
B (0.375, 0.625, 0.750)
B (0.375, 0.625, 0.250)
B (0.375, 0.125, 0.250)
Mg (0.750, 0.250, 0.500)
Mg (0.000, 0.000, 0.000)

---

[2]
A plane-wave DFT calculation with PBE was carried out for an optimized crystal structure of Li4TmAu.

Summary:
The value obtained for the calculated formation energy is -0.1378 eV/atom. The calculation puts the raw total energy at -2.71 eV/atom.

Cell lengths 5.246, 5.246, 5.246 Å; angles 60.00, 60.00, 60.00 degrees
Atoms (fractional coordinates):
Li (0.116, 0.628, 0.628)
Li (0.628, 0.628, 0.628)
Li (0.628, 0.628, 0.116)
Li (0.628, 0.116, 0.628)
Au (0.000, 0.000, 0.000)
Tm (0.250, 0.250, 0.250)

---

[3]
A plane-wave DFT calculation with PBE was carried out for an optimized crystal structure of PtAuSe2.

Summary:
The calculation puts the raw total energy at -3.84 eV/atom. The formation energy (no corrections) is 236 meV/atom.

Cell lengths 2.974, 2.974, 9.033 Å; angles 90.00, 90.00, 90.00 degrees
Atoms (fractional coordinates):
Pt (0.500, 0.500, 0.756)
Se (0.000, 0.000, 0.933)
Se (0.500, 0.500, 0.283)
Au (0.000, 0.000, 0.528)